# 1
A geometry-optimized Mn3V4Ni structure, computed with PBE.

Raw total energy = -8.911 eV/atom
Crystal system = orthorhombic
Mass density = 7.41 g/cm3
Space group = Pmmm
Total moment = 0.89 μB per cell

Cell lengths 2.9086, 4.0674, 8.0928 Å; angles 90.00, 90.00, 90.00 degrees
Closest atoms and distances in Å follow each position.
Fractional coordinates of all 8 atoms:
Mn 0.0000 0.0000 0.0000  8 V 2.46-2.50
Mn 0.0000 0.5000 0.2532  8 V 2.47-2.51
Mn 0.0000 0.5000 0.7468  8 V 2.47-2.51
V 0.5000 0.0000 0.2450  6 Mn 2.46-2.50, 2 Ni 2.52
V 0.5000 0.0000 0.7550  6 Mn 2.46-2.50, 2 Ni 2.52
V 0.5000 0.5000 0.0000  8 Mn 2.50-2.51
V 0.5000 0.5000 0.5000  4 Mn 2.47, 4 Ni 2.50
Ni 0.0000 0.0000 0.5000  8 V 2.50-2.52


# 2
A geometry-optimized MnV2Ni8 structure, computed with PBE.

Crystal system = orthorhombic
Mass density = 8.00 g/cm3
Space group = Immm
Total moment = 2.42 μB per cell
Polymorph energy (0 for the lowest one) = 0.000 eV/atom

Cell lengths 6.5371, 6.5371, 6.5371 Å; angles 149.02, 113.15, 75.50 degrees
Closest atoms and distances in Å follow each position.
Fractional coordinates of all 11 atoms:
Mn 0.0000 0.0000 0.0000  12 Ni 2.48-2.51
V 0.3423 0.3423 0.0000  10 Ni 2.42-2.59
V 0.6577 0.6577 0.0000  10 Ni 2.42-2.59
Ni 0.0889 0.8366 0.2524  7 Ni 2.43-2.52, 1 Mn 2.48, 3 V 2.50-2.59
Ni 0.1750 0.6750 0.5000  8 Ni 2.44-2.56, 2 V 2.46, 2 Mn 2.51
Ni 0.2512 0.5000 0.7512  2 V 2.42, 6 Ni 2.43-2.56, 2 Mn 2.51
Ni 0.4158 0.1634 0.2524  7 Ni 2.43-2.52, 1 Mn 2.48, 3 V 2.50-2.59
Ni 0.5842 0.8366 0.7476  7 Ni 2.43-2.52, 1 Mn 2.48, 3 V 2.50-2.59
Ni 0.7488 0.5000 0.2488  2 V 2.42, 6 Ni 2.43-2.56, 2 Mn 2.51
Ni 0.8250 0.3250 0.5000  8 Ni 2.44-2.56, 2 V 2.46, 2 Mn 2.51
Ni 0.9111 0.1634 0.7476  7 Ni 2.43-2.52, 1 Mn 2.48, 3 V 2.50-2.59


# 3
A geometry-optimized MnV2Ni4 structure, computed with PBE.

Raw total energy = -7.037 eV/atom
Crystal system = tetragonal
Mass density = 7.01 g/cm3
Space group = I4/mmm
Total moment = 3.66 μB per cell

Cell lengths 8.4212, 8.4212, 8.4212 Å; angles 156.78, 156.78, 33.06 degrees
Closest atoms and distances in Å follow each position.
Fractional coordinates of all 7 atoms:
Mn 0.0000 0.0000 0.0000  2 Ni 2.31
V 0.3764 0.3764 0.0000  8 Ni 2.42-2.65
V 0.6236 0.6236 0.0000  8 Ni 2.42-2.65
Ni 0.1433 0.1433 0.0000  1 Mn 2.31, 4 Ni 2.42, 4 V 2.42
Ni 0.2500 0.7500 0.5000  8 Ni 2.40-2.42, 4 V 2.65
Ni 0.7500 0.2500 0.5000  8 Ni 2.40-2.42, 4 V 2.65
Ni 0.8567 0.8567 0.0000  1 Mn 2.31, 4 Ni 2.42, 4 V 2.42


# 4
A geometry-optimized MnV4Ni15 structure, computed with PBE.

Raw total energy = -6.794 eV/atom
Crystal system = tetragonal
Mass density = 8.35 g/cm3
Space group = P4/mmm
Total moment = 7.44 μB per cell

Cell lengths 3.5608, 3.5608, 17.8663 Å; angles 90.00, 90.00, 90.00 degrees
Closest atoms and distances in Å follow each position.
Fractional coordinates of all 20 atoms:
Mn 0.0000 0.0000 0.0000  12 Ni 2.52-2.56
V 0.0000 0.0000 0.1972  12 Ni 2.45-2.56
V 0.0000 0.0000 0.3999  12 Ni 2.52
V 0.0000 0.0000 0.6001  12 Ni 2.52
V 0.0000 0.0000 0.8028  12 Ni 2.45-2.56
Ni 0.0000 0.5000 0.1033  2 V 2.45, 8 Ni 2.51-2.56, 2 Mn 2.56
Ni 0.0000 0.5000 0.3002  8 Ni 2.50-2.52, 4 V 2.52-2.56
Ni 0.0000 0.5000 0.5000  8 Ni 2.52, 4 V 2.52
Ni 0.0000 0.5000 0.6998  8 Ni 2.50-2.52, 4 V 2.52-2.56
Ni 0.0000 0.5000 0.8967  2 V 2.45, 8 Ni 2.51-2.56, 2 Mn 2.56
Ni 0.5000 0.0000 0.1033  2 V 2.45, 8 Ni 2.51-2.56, 2 Mn 2.56
Ni 0.5000 0.0000 0.3002  8 Ni 2.50-2.52, 4 V 2.52-2.56
Ni 0.5000 0.0000 0.5000  8 Ni 2.52, 4 V 2.52
Ni 0.5000 0.0000 0.6998  8 Ni 2.50-2.52, 4 V 2.52-2.56
Ni 0.5000 0.0000 0.8967  2 V 2.45, 8 Ni 2.51-2.56, 2 Mn 2.56
Ni 0.5000 0.5000 0.0000  4 Mn 2.52, 8 Ni 2.56
Ni 0.5000 0.5000 0.2022  8 Ni 2.50-2.51, 4 V 2.52
Ni 0.5000 0.5000 0.3999  8 Ni 2.52, 4 V 2.52
Ni 0.5000 0.5000 0.6001  8 Ni 2.52, 4 V 2.52
Ni 0.5000 0.5000 0.7978  8 Ni 2.50-2.51, 4 V 2.52


# 5
A geometry-optimized MnV3Ni12 structure, computed with PBE.

Raw total energy = -6.799 eV/atom
Crystal system = tetragonal
Mass density = 8.36 g/cm3
Space group = P4/mmm
Total moment = 6.39 μB per cell

Cell lengths 3.5603, 3.5603, 14.2920 Å; angles 90.00, 90.00, 90.00 degrees
Closest atoms and distances in Å follow each position.
Fractional coordinates of all 16 atoms:
Mn 0.0000 0.0000 0.0000  12 Ni 2.52-2.56
V 0.0000 0.0000 0.2464  12 Ni 2.45-2.57
V 0.0000 0.0000 0.5000  12 Ni 2.52
V 0.0000 0.0000 0.7536  12 Ni 2.45-2.57
Ni 0.0000 0.5000 0.1290  2 V 2.45, 8 Ni 2.51-2.56, 2 Mn 2.56
Ni 0.0000 0.5000 0.3756  8 Ni 2.50-2.52, 4 V 2.52-2.57
Ni 0.0000 0.5000 0.6244  8 Ni 2.50-2.52, 4 V 2.52-2.57
Ni 0.0000 0.5000 0.8710  2 V 2.45, 8 Ni 2.51-2.56, 2 Mn 2.56
Ni 0.5000 0.0000 0.1290  2 V 2.45, 8 Ni 2.51-2.56, 2 Mn 2.56
Ni 0.5000 0.0000 0.3756  8 Ni 2.50-2.52, 4 V 2.52-2.57
Ni 0.5000 0.0000 0.6244  8 Ni 2.50-2.52, 4 V 2.52-2.57
Ni 0.5000 0.0000 0.8710  2 V 2.45, 8 Ni 2.51-2.56, 2 Mn 2.56
Ni 0.5000 0.5000 0.0000  4 Mn 2.52, 8 Ni 2.56
Ni 0.5000 0.5000 0.2528  8 Ni 2.50-2.51, 4 V 2.52
Ni 0.5000 0.5000 0.5000  8 Ni 2.52, 4 V 2.52
Ni 0.5000 0.5000 0.7472  8 Ni 2.50-2.51, 4 V 2.52


# 6
A geometry-optimized MnVNi structure, computed with PBE.

Crystal system = orthorhombic
Mass density = 7.14 g/cm3
Space group = Imm2
Total moment = 2.29 μB per cell
Polymorph energy (0 for the lowest one) = 0.350 eV/atom

Cell lengths 6.4280, 6.4280, 6.4280 Å; angles 158.08, 157.28, 31.78 degrees
Closest atoms and distances in Å follow each position.
Fractional coordinates of all 3 atoms:
Mn 0.0000 0.0000 0.0000  4 Mn 2.44-2.53, 2 Ni 2.47, 4 V 2.62
V 0.3429 0.3429 0.0000  4 V 2.44-2.53, 2 Ni 2.46, 4 Mn 2.62
Ni 0.6719 0.1719 0.5000  4 Ni 2.44-2.53, 2 V 2.46, 2 Mn 2.47


# 7
A geometry-optimized Mn3VNi structure, computed with PBE.

Crystal system = cubic
Mass density = 5.20 g/cm3
Space group = Pm-3m
Total moment = 8.81 μB per cell
Polymorph energy (0 for the lowest one) = 0.000 eV/atom

Cell lengths 4.4405, 4.4405, 4.4405 Å; angles 90.00, 90.00, 90.00 degrees
Closest atoms and distances in Å follow each position.
Fractional coordinates of all 5 atoms:
Mn 0.0000 0.0000 0.5000  2 Ni 2.22
Mn 0.0000 0.5000 0.0000  2 Ni 2.22
Mn 0.5000 0.0000 0.0000  2 Ni 2.22
V 0.5000 0.5000 0.5000  12 Mn 3.14
Ni 0.0000 0.0000 0.0000  6 Mn 2.22


# 8
A geometry-optimized MnV2Ni structure, computed with PBE.

Raw total energy = -8.421 eV/atom
Crystal system = tetragonal
Mass density = 7.42 g/cm3
Space group = P4/mmm
Total moment = 0.00 μB per cell

Cell lengths 2.9288, 2.9288, 5.6206 Å; angles 90.00, 90.00, 90.00 degrees
Closest atoms and distances in Å follow each position.
Fractional coordinates of all 4 atoms:
Mn 0.0000 0.0000 0.0000  8 V 2.48
V 0.5000 0.5000 0.2433  4 Mn 2.48, 4 Ni 2.52, 1 V 2.74
V 0.5000 0.5000 0.7567  4 Mn 2.48, 4 Ni 2.52, 1 V 2.74
Ni 0.0000 0.0000 0.5000  8 V 2.52, 2 Mn 2.81


# 9
A geometry-optimized MnVNi structure, computed with PBE.

Crystal system = cubic
Mass density = 6.30 g/cm3
Space group = F-43m
Total moment = 0.99 μB per cell
Polymorph energy (0 for the lowest one) = 0.554 eV/atom

Cell lengths 3.9445, 3.9445, 3.9445 Å; angles 60.00, 60.00, 60.00 degrees
Closest atoms and distances in Å follow each position.
Fractional coordinates of all 3 atoms:
Mn 0.0000 0.0000 0.0000  4 Ni 2.42, 4 V 2.42
V 0.2500 0.2500 0.2500  4 Mn 2.42
Ni 0.7500 0.7500 0.7500  4 Mn 2.42


# 10
A geometry-optimized Mn2VNi9 structure, computed with PBE.

Raw total energy = -6.774 eV/atom
Crystal system = tetragonal
Mass density = 8.43 g/cm3
Space group = P4/mmm
Total moment = 9.15 μB per cell

Cell lengths 3.5629, 3.5629, 10.6949 Å; angles 90.00, 90.00, 90.00 degrees
Closest atoms and distances in Å follow each position.
Fractional coordinates of all 12 atoms:
Mn 0.0000 0.0000 0.1651  12 Ni 2.51-2.57
Mn 0.0000 0.0000 0.8349  12 Ni 2.51-2.57
V 0.0000 0.0000 0.5000  12 Ni 2.49-2.52
Ni 0.0000 0.5000 0.0000  4 Mn 2.51, 8 Ni 2.52-2.54
Ni 0.0000 0.5000 0.3376  8 Ni 2.49-2.53, 2 V 2.49, 2 Mn 2.57
Ni 0.0000 0.5000 0.6624  8 Ni 2.49-2.53, 2 V 2.49, 2 Mn 2.57
Ni 0.5000 0.0000 0.0000  4 Mn 2.51, 8 Ni 2.52-2.54
Ni 0.5000 0.0000 0.3376  8 Ni 2.49-2.53, 2 V 2.49, 2 Mn 2.57
Ni 0.5000 0.0000 0.6624  8 Ni 2.49-2.53, 2 V 2.49, 2 Mn 2.57
Ni 0.5000 0.5000 0.1691  4 Mn 2.52, 8 Ni 2.53-2.54
Ni 0.5000 0.5000 0.5000  8 Ni 2.49, 4 V 2.52
Ni 0.5000 0.5000 0.8309  4 Mn 2.52, 8 Ni 2.53-2.54


# 11
A geometry-optimized MnV2Ni9 structure, computed with PBE.

Raw total energy = -6.807 eV/atom
Crystal system = tetragonal
Mass density = 8.38 g/cm3
Space group = P4/mmm
Total moment = 5.21 μB per cell

Cell lengths 3.5617, 3.5617, 10.7065 Å; angles 90.00, 90.00, 90.00 degrees
Closest atoms and distances in Å follow each position.
Fractional coordinates of all 12 atoms:
Mn 0.0000 0.0000 0.0000  12 Ni 2.52-2.56
V 0.0000 0.0000 0.3292  12 Ni 2.45-2.55
V 0.0000 0.0000 0.6708  12 Ni 2.45-2.55
Ni 0.0000 0.5000 0.1722  2 V 2.45, 8 Ni 2.50-2.56, 2 Mn 2.56
Ni 0.0000 0.5000 0.5000  8 Ni 2.50-2.52, 4 V 2.55
Ni 0.0000 0.5000 0.8278  2 V 2.45, 8 Ni 2.50-2.56, 2 Mn 2.56
Ni 0.5000 0.0000 0.1722  2 V 2.45, 8 Ni 2.50-2.56, 2 Mn 2.56
Ni 0.5000 0.0000 0.5000  8 Ni 2.50-2.52, 4 V 2.55
Ni 0.5000 0.0000 0.8278  2 V 2.45, 8 Ni 2.50-2.56, 2 Mn 2.56
Ni 0.5000 0.5000 0.0000  4 Mn 2.52, 8 Ni 2.56
Ni 0.5000 0.5000 0.3367  8 Ni 2.50, 4 V 2.52
Ni 0.5000 0.5000 0.6633  8 Ni 2.50, 4 V 2.52